No. 1
LiCr2Cu | PBE | relaxed

Lattice parameters (Å, degrees): 4.3987 2.3482 4.6713 77.19 90.00 90.00
Fractional positions:
Cu 0.5000 0.2500 0.2500
Cr 0.0000 0.5367 0.4951
Cr 0.0000 0.9633 0.0049
Li 0.5000 0.7500 0.7500

## Properties
**Energy of formation**: 0.36 eV/atom
**Calculated density**: 6.16 g cm⁻³
**Uncorrected energy**: -5.95 eV per atom
**Energy above the lowest structure with this stoichiometry**: 0.156 eV/atom
**Density of states at the Fermi level**: 0.8941 states/eV/atom

---

No. 2
LiCr2Cu | PBE | relaxed

Lattice parameters (Å, degrees): 6.6744 6.6744 5.2250 50.31 50.31 90.00
Fractional positions:
Li 0.2500 0.7500 0.5000
Li 0.5000 0.5000 0.0000
Cr 0.3750 0.3706 0.7500
Cr 0.1206 0.6250 0.2500
Cr 0.8750 0.8794 0.7500
Cr 0.6294 0.1250 0.2500
Cu 0.0000 0.0000 0.0000
Cu 0.7500 0.2500 0.5000

## Properties
**Energy of formation**: 0.89 eV/atom
**Calculated density**: 5.80 g cm⁻³
**Uncorrected energy**: -5.43 eV per atom
**Energy above the lowest structure with this stoichiometry**: 0.682 eV/atom
**Density of states at the Fermi level**: 1.1234 states/eV/atom

---

No. 3
LiCr2Cu2 | PBE | relaxed

Lattice parameters (Å, degrees): 7.4221 7.4221 2.4326 90.00 90.00 90.00
Fractional positions:
Cu 0.8084 0.3084 0.5000
Cu 0.6916 0.8084 0.5000
Cu 0.3084 0.1916 0.5000
Cu 0.1916 0.6916 0.5000
Cr 0.8997 0.6003 0.0000
Cr 0.6003 0.1003 0.0000
Cr 0.3997 0.8997 0.0000
Cr 0.1003 0.3997 0.0000
Li 0.5000 0.5000 0.0000
Li 0.0000 0.0000 0.0000

## Properties
**Energy of formation**: 0.37 eV/atom
**Calculated density**: 5.90 g cm⁻³
**Uncorrected energy**: -5.50 eV per atom
**Energy above the lowest structure with this stoichiometry**: 0.000 eV/atom
**Density of states at the Fermi level**: 0.6656 states/eV/atom

---

No. 4
LiCr2Cu | PBE | relaxed

Lattice parameters (Å, degrees): 3.9620 2.3514 5.1264 81.65 90.00 90.00
Fractional positions:
Cr 0.0000 0.9870 0.0161
Cr 0.5000 0.2073 0.2317
Cu 0.0000 0.5290 0.5111
Li 0.5000 0.7766 0.7410

## Properties
**Energy of formation**: 0.32 eV/atom
**Calculated density**: 6.13 g cm⁻³
**Uncorrected energy**: -5.99 eV per atom
**Energy above the lowest structure with this stoichiometry**: 0.120 eV/atom
**Density of states at the Fermi level**: 0.7489 states/eV/atom

---

No. 5
LiCr2Cu | PBE | relaxed

Lattice parameters (Å, degrees): 4.2695 4.2695 3.1353 90.00 90.00 90.00
Fractional positions:
Li 0.0000 0.5000 0.5000
Cr 0.5000 0.5000 0.0000
Cr 0.0000 0.0000 0.0000
Cu 0.5000 0.0000 0.5000

## Properties
**Energy of formation**: 0.64 eV/atom
**Calculated density**: 5.07 g cm⁻³
**Uncorrected energy**: -5.67 eV per atom
**Energy above the lowest structure with this stoichiometry**: 0.437 eV/atom
**Density of states at the Fermi level**: 1.2922 states/eV/atom

---

No. 6
Li4CrCu | PBE | relaxed

Lattice parameters (Å, degrees): 5.0471 5.0471 5.0471 60.00 60.00 60.00
Fractional positions:
Li 0.3746 0.8763 0.3746
Li 0.8763 0.3746 0.3746
Li 0.3746 0.3746 0.8763
Li 0.3746 0.3746 0.3746
Cr 0.7500 0.7500 0.7500
Cu 0.0000 0.0000 0.0000

## Properties
**Energy of formation**: 0.36 eV/atom
**Calculated density**: 2.62 g cm⁻³
**Uncorrected energy**: -3.21 eV per atom
**Density of states at the Fermi level**: 0.4751 states/eV/atom